Record 1
This record from Alexandria describes a relaxed structure of BeSnAuI2. The functional is GGA-PBEsol.

a = 5.752 Å, b = 5.752 Å, c = 4.310 Å
α = 90.00°, β = 90.00°, γ = 90.00°
Atoms (fractional coordinates):
1 Be 0.000 0.000 0.000
2 Sn 0.500 0.500 0.000
3 Au 0.000 0.000 0.500
4 I 0.000 0.500 0.500
5 I 0.500 0.000 0.500

Computed properties:
formation energy without anion corrections	0.43	eV per atom
space-group type	P4/mmm, No. 123
N(E_F)	3.33	states/eV/f.u.

***

Record 2
This record from Alexandria describes a relaxed structure of BeInAu4. The functional is GGA-PBEsol.

a = 5.396 Å, b = 5.396 Å, c = 5.396 Å
α = 60.00°, β = 60.00°, γ = 60.00°
Atoms (fractional coordinates):
1 Be 0.000 0.000 0.000
2 In 0.250 0.250 0.250
3 Au 0.124 0.625 0.625
4 Au 0.625 0.124 0.625
5 Au 0.625 0.625 0.124
6 Au 0.625 0.625 0.625

Computed properties:
space-group type	F-43m, No. 216
N(E_F)	3.09	states/eV/f.u.

***

Record 3
This record from Alexandria describes a relaxed structure of BeInAu2. The functional is GGA-PBEsol.

a = 4.292 Å, b = 4.292 Å, c = 3.555 Å
α = 90.00°, β = 90.00°, γ = 94.31°
Atoms (fractional coordinates):
1 Be 0.000 0.000 0.000
2 In 0.500 0.500 0.000
3 Au 0.000 0.500 0.500
4 Au 0.500 0.000 0.500

Computed properties:
ΔE to the lowest computed polymorph	0.010	eV/atom
space-group type	Cmmm, No. 65
N(E_F)	1.06	states/eV/f.u.

***

Record 4
This record from Alexandria describes a relaxed structure of BeIn2Au. The functional is GGA-PBEsol.

a = 4.665 Å, b = 4.665 Å, c = 4.800 Å
α = 97.83°, β = 97.83°, γ = 47.15°
Atoms (fractional coordinates):
1 Be 0.000 0.000 0.000
2 In 0.241 0.241 0.758
3 In 0.759 0.759 0.242
4 Au 0.500 0.500 0.500

Computed properties:
space-group type	C2/m, No. 12
N(E_F)	1.16	states/eV/f.u.

***

Record 5
This record from Alexandria describes a relaxed structure of BeIn2Au2. The functional is GGA-PBEsol.

a = 7.846 Å, b = 7.846 Å, c = 7.846 Å
α = 152.51°, β = 152.51°, γ = 39.27°
Atoms (fractional coordinates):
1 Be 0.000 0.000 0.000
2 In 0.402 0.402 0.000
3 In 0.598 0.598 0.000
4 Au 0.250 0.750 0.500
5 Au 0.750 0.250 0.500

Computed properties:
space-group type	I4/mmm, No. 139
N(E_F)	1.98	states/eV/f.u.

***

Record 6
This record from Alexandria describes a relaxed structure of BeIn2Au. The functional is GGA-PBEsol.

a = 3.061 Å, b = 3.061 Å, c = 8.118 Å
α = 90.00°, β = 90.00°, γ = 90.00°
Atoms (fractional coordinates):
1 Be 0.000 0.000 0.000
2 In 0.000 0.000 0.592
3 In 0.500 0.500 0.251
4 Au 0.500 0.500 0.873

Computed properties:
space-group type	P4mm, No. 99
N(E_F)	1.47	states/eV/f.u.

***

| no. | calculated total energy (eV/atom) |
| --- | --- |
| 1 | -2.713 |
| 2 | -3.511 |
| 3 | -3.655 |
| 4 | -3.283 |
| 5 | -3.232 |
| 6 | -3.435 |